Entry 1:
Ce2As4RuPt3 | PBE | optimized geometry

## Properties
- ρ: 10.98 g/cm3
- Size of the total moment: 1.5 μB per cell
- VASP energy: -6.5808 eV per atom
- Energy relative to the elements: -0.794 eV per atom

a = 4.2157 Å, b = 4.2157 Å, c = 10.7761 Å
α = 90.00°, β = 90.00°, γ = 90.00°
Closest atoms and distances in Å follow each position.
Fractional coordinates of all 10 atoms:
As  0.0000  0.0000  0.0000  4 Pt 2.60
As  0.0000  0.5000  0.3671  3 Pt 2.44-2.55, 2 Ru 2.55
As  0.5000  0.0000  0.6329  3 Pt 2.44-2.55, 2 Ru 2.55
As  0.5000  0.5000  0.0000  4 Pt 2.60
Pt  0.0000  0.5000  0.1409  5 As 2.44-2.60
Pt  0.0000  0.0000  0.5000  4 As 2.55
Pt  0.5000  0.0000  0.8591  5 As 2.44-2.60
Ce  0.5000  0.0000  0.2599  8 As 3.20-3.51, 6 Pt 3.25-3.34, 2 Ru 3.34
Ce  0.0000  0.5000  0.7401  8 As 3.20-3.51, 6 Pt 3.25-3.34, 2 Ru 3.34
Ru  0.5000  0.5000  0.5000  4 As 2.55

=====

Entry 2:
CeGdCdRh | PBE | optimized geometry

## Properties
- ρ: 8.86 g/cm3
- Size of the total moment: 6.3 μB per cell
- VASP energy: -7.4561 eV per atom
- Energy relative to the elements: -0.386 eV per atom

a = 5.1418 Å, b = 5.1418 Å, c = 5.1418 Å
α = 60.00°, β = 60.00°, γ = 60.00°
Closest atoms and distances in Å follow each position.
Fractional coordinates of all 4 atoms:
Rh  0.2500  0.2500  0.2500  4 Gd 3.15, 4 Ce 3.15
Cd  0.7500  0.7500  0.7500  4 Ce 3.15, 4 Gd 3.15
Ce  0.5000  0.5000  0.5000  4 Cd 3.15, 4 Rh 3.15
Gd  0.0000  0.0000  0.0000  4 Rh 3.15, 4 Cd 3.15

=====

Entry 3:
BaBi | PBE | optimized geometry

## Properties
- ρ: 6.55 g/cm3
- Size of the total moment: 0.6 μB per cell
- VASP energy: -3.6479 eV per atom
- Energy relative to the elements: -0.746 eV per atom

a = 5.1096 Å, b = 5.3400 Å, c = 6.9215 Å
α = 90.00°, β = 111.52°, γ = 90.00°
Closest atoms and distances in Å follow each position.
Fractional coordinates of all 4 atoms:
Ba  0.6331  0.2500  0.2682  7 Bi 3.72-3.77
Ba  0.3669  0.7500  0.7318  7 Bi 3.72-3.77
Bi  0.0754  0.7500  0.1537  2 Bi 3.32, 1 Ba 3.72
Bi  0.9246  0.2500  0.8463  2 Bi 3.32, 1 Ba 3.72

=====

Entry 4:
CsRb2RuC | PBE | optimized geometry

## Properties
- ρ: 4.26 g/cm3
- Size of the total moment: 0.0 μB per cell
- VASP energy: -3.3802 eV per atom
- Energy relative to the elements: 0.877 eV per atom

a = 6.3939 Å, b = 3.9775 Å, c = 6.3939 Å
α = 90.00°, β = 90.00°, γ = 90.00°
Closest atoms and distances in Å follow each position.
Fractional coordinates of all 5 atoms:
Rb  0.5000  0.0000  0.0000  2 C 3.20
Rb  0.0000  0.0000  0.5000  2 C 3.20
Ru  0.0000  0.5000  0.0000  2 C 1.99
C  0.0000  0.0000  0.0000  2 Ru 1.99
Cs  0.5000  0.5000  0.5000  8 Rb 3.77, 2 Cs 3.98

=====

Entry 5:
CrFeOs2 | PBE | optimized geometry

## Properties
- ρ: 10.94 g/cm3
- Size of the total moment: 0.0 μB per cell
- VASP energy: -8.7367 eV per atom
- Energy relative to the elements: 1.400 eV per atom

a = 5.3054 Å, b = 5.3054 Å, c = 6.4668 Å
α = 65.78°, β = 65.78°, γ = 90.00°
Closest atoms and distances in Å follow each position.
Fractional coordinates of all 8 atoms:
Fe  0.0000  0.0000  0.0000  4 Os 2.26
Fe  0.7500  0.2500  0.5000  4 Os 2.26
Os  0.3750  0.3651  0.7500  2 Fe 2.26, 2 Cr 2.32
Os  0.8750  0.8849  0.7500  2 Fe 2.26, 2 Cr 2.32
Os  0.1151  0.6250  0.2500  2 Fe 2.26, 2 Cr 2.32
Os  0.6349  0.1250  0.2500  2 Fe 2.26, 2 Cr 2.32
Cr  0.2500  0.7500  0.5000  4 Os 2.32
Cr  0.5000  0.5000  0.0000  4 Os 2.32

=====

Entry 6:
HgSb2Pb6 | PBE | optimized geometry

## Properties
- ρ: 10.13 g/cm3
- Size of the total moment: 0.0 μB per cell
- VASP energy: -3.3787 eV per atom
- Uncorrected formation energy: 0.043 eV per atom

a = 4.2816 Å, b = 6.5057 Å, c = 11.3957 Å
α = 67.69°, β = 79.17°, γ = 70.79°
Closest atoms and distances in Å follow each position.
Fractional coordinates of all 9 atoms:
Pb  0.6658  0.2377  0.4307  2 Sb 3.28, 7 Pb 3.52-3.59
Pb  0.0230  0.2734  0.6807  2 Sb 3.26, 1 Hg 3.39, 6 Pb 3.55-3.59
Pb  0.9770  0.7266  0.3193  2 Sb 3.26, 1 Hg 3.39, 6 Pb 3.55-3.59
Pb  0.3342  0.7623  0.5693  2 Sb 3.28, 7 Pb 3.52-3.59
Pb  0.6562  0.5865  0.1011  2 Hg 3.22, 3 Sb 3.34-3.49, 5 Pb 3.53-3.58
Pb  0.3438  0.4135  0.8989  2 Hg 3.22, 3 Sb 3.34-3.49, 5 Pb 3.53-3.58
Sb  0.6908  0.8477  0.7708  7 Pb 3.26-3.49
Sb  0.3092  0.1523  0.2292  7 Pb 3.26-3.49
Hg  0.0000  0.0000  0.0000  6 Pb 3.22-3.39

=====

Entry 7:
Ba4PS2Br | PBE | optimized geometry

## Properties
- ρ: 4.23 g/cm3
- Size of the total moment: 0.0 μB per cell
- VASP energy: -4.6579 eV per atom
- Uncorrected formation energy: -1.779 eV per atom

a = 9.2818 Å, b = 9.2818 Å, c = 9.3602 Å
α = 120.28°, β = 120.28°, γ = 89.42°
Closest atoms and distances in Å follow each position.
Fractional coordinates of all 16 atoms:
Ba  0.2460  0.2541  0.9809  3 S 3.17-3.32, 1 P 3.22, 2 Br 3.43
Ba  0.2459  0.2540  0.5191  3 S 3.17-3.32, 1 P 3.22, 2 Br 3.43
Ba  0.2390  0.7526  0.4959  3 S 3.18-3.33, 2 P 3.27, 1 Br 3.35
Ba  0.7474  0.2610  0.0041  3 S 3.18-3.33, 2 P 3.27, 1 Br 3.35
Ba  0.7541  0.7460  0.4809  3 S 3.17-3.32, 1 P 3.22, 2 Br 3.43
Ba  0.7610  0.2474  0.5041  3 S 3.18-3.33, 2 P 3.27, 1 Br 3.35
Ba  0.2526  0.7390  0.9959  3 S 3.18-3.33, 2 P 3.27, 1 Br 3.35
Ba  0.7540  0.7459  0.0191  3 S 3.17-3.32, 1 P 3.22, 2 Br 3.43
S  0.5000  0.0000  0.5000  6 Ba 3.32-3.33
S  0.0000  0.0000  0.5000  6 Ba 3.17-3.18
S  0.5000  0.0000  0.0000  6 Ba 3.32-3.33
S  0.5000  0.5000  0.0000  6 Ba 3.17-3.18
Br  0.0000  0.0000  0.0000  6 Ba 3.35-3.43
Br  0.5000  0.5000  0.5000  6 Ba 3.35-3.43
P  0.0000  0.5000  0.5000  6 Ba 3.22-3.27
P  0.0000  0.5000  0.0000  6 Ba 3.22-3.27

=====

Entry 8:
CsHgAsIr | PBE | optimized geometry

## Properties
- ρ: 8.30 g/cm3
- Size of the total moment: 0.0 μB per cell
- VASP energy: -4.0025 eV per atom
- Energy relative to the elements: -0.336 eV per atom

a = 4.1524 Å, b = 4.1524 Å, c = 13.9457 Å
α = 90.00°, β = 90.00°, γ = 90.00°
Closest atoms and distances in Å follow each position.
Fractional coordinates of all 8 atoms:
Hg  0.2500  0.7500  0.5000  4 Hg 2.94
Hg  0.7500  0.2500  0.5000  4 Hg 2.94
As  0.7500  0.7500  0.9021  4 Ir 2.49
As  0.2500  0.2500  0.0979  4 Ir 2.49
Ir  0.7500  0.2500  0.0000  4 As 2.49
Ir  0.2500  0.7500  0.0000  4 As 2.49
Cs  0.2500  0.2500  0.7454  4 As 3.66, 4 Hg 4.00
Cs  0.7500  0.7500  0.2546  4 As 3.66, 4 Hg 4.00

=====

Entry 9:
Mn2Be2Te | PBE | optimized geometry

## Properties
- ρ: 6.71 g/cm3
- Size of the total moment: 2.0 μB per cell
- VASP energy: -5.3510 eV per atom
- Uncorrected formation energy: 0.436 eV per atom

a = 6.9079 Å, b = 6.9079 Å, c = 6.9079 Å
α = 154.01°, β = 154.01°, γ = 37.09°
Closest atoms and distances in Å follow each position.
Fractional coordinates of all 5 atoms:
Be  0.7500  0.2500  0.5000  4 Be 2.20, 4 Mn 2.40
Be  0.2500  0.7500  0.5000  4 Be 2.20, 4 Mn 2.40
Mn  0.6105  0.6105  0.0000  4 Be 2.40, 4 Te 2.63
Mn  0.3895  0.3895  0.0000  4 Be 2.40, 4 Te 2.63
Te  0.0000  0.0000  0.0000  8 Mn 2.63

=====

Entry 10:
CaSc2Ta | PBE | optimized geometry

## Properties
- ρ: 4.97 g/cm3
- Size of the total moment: 0.3 μB per cell
- Relative energy among the computed polymorphs: 0.81 eV/f.u.
- VASP energy: -6.2116 eV per atom
- Energy relative to the elements: 0.418 eV per atom

a = 3.6577 Å, b = 3.6577 Å, c = 7.7687 Å
α = 90.00°, β = 90.00°, γ = 90.00°
Closest atoms and distances in Å follow each position.
Fractional coordinates of all 4 atoms:
Ca  0.5000  0.5000  0.7172  5 Sc 3.35-3.70, 4 Ta 3.37, 4 Ca 3.66
Sc  0.5000  0.5000  0.2858  4 Ta 2.85, 4 Sc 3.13
Sc  0.0000  0.0000  0.0582  1 Ta 2.96, 4 Sc 3.13
Ta  0.0000  0.0000  0.4389  5 Sc 2.85-2.96

=====

Entry 11:
TbPuPt6 | PBE | optimized geometry

## Properties
- ρ: 18.40 g/cm3
- Size of the total moment: 4.2 μB per cell
- VASP energy: -7.7637 eV per atom
- Energy relative to the elements: -0.863 eV per atom

a = 4.1381 Å, b = 4.1381 Å, c = 8.2909 Å
α = 90.00°, β = 90.00°, γ = 90.00°
Closest atoms and distances in Å follow each position.
Fractional coordinates of all 8 atoms:
Tb  0.0000  0.0000  0.0000  12 Pt 2.93-2.94
Pt  0.5000  0.5000  0.0000  4 Tb 2.93, 8 Pt 2.94
Pt  0.0000  0.5000  0.7488  2 Pu 2.92, 8 Pt 2.92-2.94, 2 Tb 2.94
Pt  0.0000  0.5000  0.2512  2 Pu 2.92, 8 Pt 2.92-2.94, 2 Tb 2.94
Pt  0.5000  0.0000  0.2512  8 Pt 2.92-2.94, 2 Pu 2.92, 2 Tb 2.94
Pt  0.5000  0.0000  0.7488  8 Pt 2.92-2.94, 2 Pu 2.92, 2 Tb 2.94
Pt  0.5000  0.5000  0.5000  8 Pt 2.92, 4 Pu 2.93
Pu  0.0000  0.0000  0.5000  12 Pt 2.92-2.93

=====

Entry 12:
PPt | PBE | optimized geometry

## Properties
- ρ: 10.29 g/cm3
- Size of the total moment: 0.0 μB per cell
- VASP energy: -5.7343 eV per atom
- Energy relative to the elements: -0.009 eV per atom

a = 4.2644 Å, b = 4.2644 Å, c = 4.0104 Å
α = 90.00°, β = 90.00°, γ = 90.00°
Closest atoms and distances in Å follow each position.
Fractional coordinates of all 4 atoms:
Pt  0.5000  0.0000  0.7373  4 P 2.38
Pt  0.0000  0.5000  0.2627  4 P 2.38
P  0.0000  0.0000  0.0000  4 Pt 2.38
P  0.5000  0.5000  0.0000  4 Pt 2.38